# MnGePCl2 (PBE-GGA, relaxed)
data_MnGePCl2
_cell_length_a 4.617
_cell_length_b 4.617
_cell_length_c 5.019
_cell_angle_alpha 90.00
_cell_angle_beta 90.00
_cell_angle_gamma 90.00
_symmetry_space_group_name_H-M 'P 4/m m m'
_symmetry_Int_Tables_number 123
_symmetry_space_group_name_Hall '-P 4 2'
loop_
_atom_site_label
_atom_site_type_symbol
_atom_site_fract_x
_atom_site_fract_y
_atom_site_fract_z
Mn1 Mn 0.000 0.000 0.000
Ge1 Ge 0.500 0.500 0.500
P1 P 0.000 0.000 0.500
Cl1 Cl 0.000 0.500 0.000
# - total moment (μB/atom) = 0.800
# - energy relative to the elements, uncorrected (eV/atom) = 0.040
# - energy relative to the lowest polymorph listed for this composition (eV per atom) = 0.000
# - total DFT energy (no corrections) (eV/atom) = -4.54